First-principles (GGA-PBE) data for crystalline ZrTc2Sn2 at its relaxed geometry, as listed in OQMD.

Results
The space group is No. 139. The total magnetic moment is 0.08 μB per cell. For the energy, the calculation gives -36.18 eV for the cell shown.

```
ZrTc2Sn2
1.0
-2.3138 2.3138 4.9245
2.3138 -2.3138 4.9245
2.3138 2.3138 -4.9245
Sn Tc Zr
2 2 1
direct
0.7500 0.2500 0.5000 Sn
0.2500 0.7500 0.5000 Sn
0.3877 0.3877 0.0000 Tc
0.6123 0.6123 0.0000 Tc
0.0000 0.0000 0.0000 Zr
```

---

First-principles (GGA-PBE) data for crystalline ZrTcSn at its relaxed geometry, as listed in OQMD.

Results
The space group is No. 139. The total magnetic moment is 0.01 μB per cell. The calculation puts the energy above the most stable polymorph in this dataset at 0 meV/atom.

```
ZrTcSn
1.0
-2.1719 2.1719 6.6908
2.1719 -2.1719 6.6908
2.1719 2.1719 -6.6908
Sn Tc Zr
2 2 2
direct
0.3660 0.3660 0.0000 Sn
0.6340 0.6340 0.0000 Sn
0.5000 0.0000 0.5000 Tc
0.0000 0.5000 0.5000 Tc
0.1318 0.1318 0.0000 Zr
0.8682 0.8682 0.0000 Zr
```

---

First-principles (GGA-PBE) data for crystalline ZrTcSn at its relaxed geometry, as listed in OQMD.

Results
The space group is No. 216. The total magnetic moment is 0.01 μB per cell. The calculation puts the energy above the most stable polymorph in this dataset at 384 meV/atom.

```
ZrTcSn
1.0
-0.3570 -3.1305 3.2798
-3.6181 -2.7526 0.1322
0.4607 -4.4112 -1.0069
Sn Tc Zr
1 1 1
direct
0.2500 0.2500 0.2500 Sn
0.0000 0.0000 0.0000 Tc
0.7500 0.7500 0.7500 Zr
```

---

First-principles (GGA-PBE) data for crystalline Zr2TcSn at its relaxed geometry, as listed in OQMD.

Results
The space group is No. 216. The total magnetic moment is 0.07 μB per cell. For the energy, the calculation gives -32.17 eV for the cell shown.

```
Zr2TcSn
1.0
0.0000 3.3872 3.3872
3.3872 0.0000 3.3872
3.3872 3.3872 0.0000
Sn Tc Zr
1 1 2
direct
0.5000 0.5000 0.5000 Sn
0.2500 0.2500 0.2500 Tc
0.0000 0.0000 0.0000 Zr
0.7500 0.7500 0.7500 Zr
```

---

First-principles (GGA-PBE) data for crystalline TmTlSnTe3 at its relaxed geometry, as listed in OQMD.

Results
The space group is No. 62. The total magnetic moment is 0.01 μB per cell. The calculation puts the energy above the most stable polymorph in this dataset at 0 meV/atom.

```
TmTlSnTe3
1.0
-9.9506 -7.5620 -9.2877
0.4120 -3.5724 2.4672
-9.5881 3.8333 7.1513
Sn Te Tl Tm
4 12 4 4
direct
0.5441 0.7500 0.0843 Sn
0.0441 0.7500 0.4157 Sn
0.9559 0.2500 0.5843 Sn
0.4559 0.2500 0.9157 Sn
0.1124 0.7500 0.0363 Te
0.6507 0.2500 0.1763 Te
0.4049 0.7500 0.2375 Te
0.9049 0.7500 0.2625 Te
0.1507 0.2500 0.3237 Te
0.6124 0.7500 0.4637 Te
0.3876 0.2500 0.5363 Te
0.8493 0.7500 0.6763 Te
0.0951 0.2500 0.7375 Te
0.5951 0.2500 0.7625 Te
0.3493 0.7500 0.8237 Te
0.8876 0.2500 0.9637 Te
0.2737 0.2500 0.0822 Tl
0.7737 0.2500 0.4178 Tl
0.2263 0.7500 0.5822 Tl
0.7263 0.7500 0.9178 Tl
0.0105 0.2500 0.1498 Tm
0.5105 0.2500 0.3502 Tm
0.4895 0.7500 0.6498 Tm
0.9895 0.7500 0.8502 Tm
```

---

First-principles (GGA-PBE) data for crystalline TmTlSnTe3 at its relaxed geometry, as listed in OQMD.

Results
The space group is No. 63. The total magnetic moment is 0.00 μB per cell. The calculation puts the energy above the most stable polymorph in this dataset at 108 meV/atom.

```
TmTlSnTe3
1.0
-6.1834 2.5775 -4.9036
3.4137 -0.5890 7.5447
5.9156 10.6867 -1.8423
Sn Te Tl Tm
2 6 2 2
direct
0.3733 0.6267 0.2500 Sn
0.6267 0.3733 0.7500 Sn
0.6325 0.3675 0.0028 Te
0.0013 0.9987 0.2500 Te
0.6325 0.3675 0.4972 Te
0.3675 0.6325 0.5028 Te
0.9987 0.0013 0.7500 Te
0.3675 0.6325 0.9972 Te
0.7032 0.2968 0.2500 Tl
0.2968 0.7032 0.7500 Tl
0.0000 0.0000 0.0000 Tm
0.0000 0.0000 0.5000 Tm
```

---

First-principles (GGA-PBE) data for crystalline Tm5SnTe5 at its relaxed geometry, as listed in OQMD.

Results
The space group is No. 12. The total magnetic moment is 0.00 μB per cell. For the energy, the calculation gives -55.59 eV for the cell shown.

```
Tm5SnTe5
1.0
6.8168 -3.0503 0.0000
6.8168 3.0503 0.0000
-2.7178 0.0000 8.1588
Sn Te Tm
1 5 5
direct
0.0000 0.0000 0.0000 Sn
0.3337 0.3337 0.1702 Te
0.6675 0.6675 0.3370 Te
0.0000 0.0000 0.5000 Te
0.3325 0.3325 0.6630 Te
0.6663 0.6663 0.8298 Te
0.5000 0.5000 0.0000 Tm
0.8381 0.8381 0.1676 Tm
0.1616 0.1616 0.3292 Tm
0.8384 0.8384 0.6708 Tm
0.1619 0.1619 0.8324 Tm
```

---

First-principles (GGA-PBE) data for crystalline TmZnSnTe3 at its relaxed geometry, as listed in OQMD.

Results
The space group is No. 63. The total magnetic moment is 0.01 μB per cell. For the energy, the calculation gives -45.64 eV for the cell shown.

```
TmZnSnTe3
1.0
2.1585 -7.2783 0.0000
2.1585 7.2783 0.0000
0.0000 0.0000 11.1487
Sn Te Tm Zn
2 6 2 2
direct
0.7910 0.2090 0.2500 Sn
0.2090 0.7910 0.7500 Sn
0.3563 0.6437 0.0543 Te
0.0913 0.9087 0.2500 Te
0.3563 0.6437 0.4457 Te
0.6437 0.3563 0.5543 Te
0.9087 0.0913 0.7500 Te
0.6437 0.3563 0.9457 Te
0.0000 0.0000 0.0000 Tm
0.0000 0.0000 0.5000 Tm
0.4734 0.5266 0.2500 Zn
0.5266 0.4734 0.7500 Zn
```

---

First-principles (GGA-PBE) data for crystalline YZnSnTe3 at its relaxed geometry, as listed in OQMD.

Results
The space group is No. 63. The total magnetic moment is 0.01 μB per cell. For the energy, the calculation gives -49.97 eV for the cell shown.

```
YZnSnTe3
1.0
-7.1511 -0.0232 2.5526
6.8540 -3.2558 0.2770
2.9462 6.9099 8.3167
Sn Te Y Zn
2 6 2 2
direct
0.7910 0.2090 0.2500 Sn
0.2090 0.7910 0.7500 Sn
0.3545 0.6455 0.0569 Te
0.0926 0.9074 0.2500 Te
0.3545 0.6455 0.4431 Te
0.6455 0.3545 0.5569 Te
0.9074 0.0926 0.7500 Te
0.6455 0.3545 0.9431 Te
0.0000 0.0000 0.0000 Y
0.0000 0.0000 0.5000 Y
0.4740 0.5260 0.2500 Zn
0.5260 0.4740 0.7500 Zn
```

---

First-principles (GGA-PBE) data for crystalline ZnSnTe at its relaxed geometry, as listed in OQMD.

Results
The space group is No. 216. The calculation puts the energy above the most stable polymorph in this dataset at 0 meV/atom.

```
ZnSnTe
1.0
0.0000 3.6362 3.6362
3.6362 0.0000 3.6362
3.6362 3.6362 0.0000
Sn Te Zn
1 1 1
direct
0.0000 0.0000 0.0000 Sn
0.2500 0.2500 0.2500 Te
0.7500 0.7500 0.7500 Zn
```

---

First-principles (GGA-PBE) data for crystalline ZnSn2Te at its relaxed geometry, as listed in OQMD.

Results
The space group is No. 216. For the energy, the calculation gives -11.80 eV for the cell shown.

```
ZnSn2Te
1.0
4.3535 0.8089 2.8582
-0.3920 1.6679 4.9840
1.1889 -3.2563 3.9698
Sn Te Zn
2 1 1
direct
0.0000 0.0000 0.0000 Sn
0.2500 0.2500 0.2500 Sn
0.7500 0.7500 0.7500 Te
0.5000 0.5000 0.5000 Zn
```

---

First-principles (GGA-PBE) data for crystalline Zn2SnTe3 at its relaxed geometry, as listed in OQMD.

Results
The space group is No. 63. For the energy, the calculation gives -34.22 eV for the cell shown.

```
Zn2SnTe3
1.0
-4.4170 5.6642 1.4968
-6.1444 3.6238 -1.7170
-5.7841 -6.4069 7.1767
Sn Te Zn
2 6 4
direct
0.7708 0.7708 0.2500 Sn
0.2292 0.2292 0.7500 Sn
0.3655 0.3655 0.0597 Te
0.0936 0.0936 0.2500 Te
0.3655 0.3655 0.4403 Te
0.6345 0.6345 0.5597 Te
0.9064 0.9064 0.7500 Te
0.6345 0.6345 0.9403 Te
0.0000 0.0000 0.0000 Zn
0.4759 0.4759 0.2500 Zn
0.0000 0.0000 0.5000 Zn
0.5241 0.5241 0.7500 Zn
```

---

First-principles (GGA-PBE) data for crystalline ZnSnTe2 at its relaxed geometry, as listed in OQMD.

Results
The space group is No. 216. For the energy, the calculation gives -10.68 eV for the cell shown.

```
ZnSnTe2
1.0
-2.6891 -4.5410 0.7979
-3.2574 -0.4695 4.2020
-5.2865 -0.1333 -0.7232
Sn Te Zn
1 2 1
direct
0.5000 0.5000 0.5000 Sn
0.0000 0.0000 0.0000 Te
0.7500 0.7500 0.7500 Te
0.2500 0.2500 0.2500 Zn
```

---

First-principles (GGA-PBE) data for crystalline Zr2SnTe2 at its relaxed geometry, as listed in OQMD.

Results
The space group is No. 139. The total magnetic moment is 0.00 μB per cell. For the energy, the calculation gives -28.79 eV for the cell shown.

```
Zr2SnTe2
1.0
0.0000 5.2712 3.6414
3.6414 0.0000 3.6414
3.6414 5.2712 0.0000
Sn Te Zr
1 2 2
direct
0.0000 0.0000 0.0000 Sn
0.3572 0.6428 0.3572 Te
0.6428 0.3572 0.6428 Te
0.2500 0.2500 0.2500 Zr
0.7500 0.7500 0.7500 Zr
```

---

First-principles (GGA-PBE) data for crystalline ZrSn2Te at its relaxed geometry, as listed in OQMD.

Results
The space group is No. 216. The total magnetic moment is 0.65 μB per cell. For the energy, the calculation gives -19.63 eV for the cell shown.

```
ZrSn2Te
1.0
-1.7659 -0.4288 4.9200
-3.9463 -3.2771 1.0936
0.9100 -4.3783 2.7406
Sn Te Zr
2 1 1
direct
0.0000 0.0000 0.0000 Sn
0.7500 0.7500 0.7500 Sn
0.5000 0.5000 0.5000 Te
0.2500 0.2500 0.2500 Zr
```

---

First-principles (GGA-PBE) data for crystalline ThSn2 at its relaxed geometry, as listed in OQMD.

Results
The space group is No. 227. The total magnetic moment is 0.04 μB per cell. For the energy, the calculation gives -23.10 eV for the cell shown.

```
ThSn2
1.0
0.0000 7.0655 7.0655
7.0655 0.0000 7.0655
7.0655 7.0655 0.0000
Sn Th
4 2
direct
0.6250 0.6250 0.1250 Sn
0.6250 0.1250 0.6250 Sn
0.1250 0.6250 0.6250 Sn
0.6250 0.6250 0.6250 Sn
0.5000 0.5000 0.5000 Th
0.7500 0.7500 0.7500 Th
```

---

First-principles (GGA-PBE) data for crystalline ThSn2 at its relaxed geometry, as listed in OQMD.

Results
The space group is No. 63. The total magnetic moment is 0.02 μB per cell. For the energy, the calculation gives -34.09 eV for the cell shown.

```
ThSn2
1.0
1.0305 1.3491 -8.6366
-3.8953 2.0261 7.6285
3.1909 2.9602 0.8432
Sn Th
4 2
direct
0.9381 0.0619 0.2500 Sn
0.2495 0.7505 0.2500 Sn
0.7505 0.2495 0.7500 Sn
0.0619 0.9381 0.7500 Sn
0.6021 0.3979 0.2500 Th
0.3979 0.6021 0.7500 Th
```

---

First-principles (GGA-PBE) data for crystalline TmThSn at its relaxed geometry, as listed in OQMD.

Results
The space group is No. 216. The total magnetic moment is 0.02 μB per cell. The calculation puts the energy above the most stable polymorph in this dataset at 0 meV/atom.

```
TmThSn
1.0
0.0000 3.6533 3.6533
3.6533 0.0000 3.6533
3.6533 3.6533 0.0000
Sn Th Tm
1 1 1
direct
0.0000 0.0000 0.0000 Sn
0.2500 0.2500 0.2500 Th
0.7500 0.7500 0.7500 Tm
```

---

First-principles (GGA-PBE) data for crystalline Th3Zr2Sn3 at its relaxed geometry, as listed in OQMD.

Results
The space group is No. 193. The total magnetic moment is 0.01 μB per cell. For the energy, the calculation gives -111.18 eV for the cell shown.

```
Th3Zr2Sn3
1.0
9.1181 0.0000 0.0000
-4.5590 7.8965 0.0000
0.0000 0.0000 6.0788
Sn Th Zr
6 6 4
direct
0.4041 0.0000 0.2500 Sn
0.0000 0.4041 0.2500 Sn
0.5959 0.5959 0.2500 Sn
0.5959 0.0000 0.7500 Sn
0.4041 0.4041 0.7500 Sn
0.0000 0.5959 0.7500 Sn
0.7548 0.0000 0.2500 Th
0.2452 0.2452 0.2500 Th
0.0000 0.7548 0.2500 Th
0.2452 0.0000 0.7500 Th
0.0000 0.2452 0.7500 Th
0.7548 0.7548 0.7500 Th
0.6667 0.3333 0.0000 Zr
0.3333 0.6667 0.0000 Zr
0.6667 0.3333 0.5000 Zr
0.3333 0.6667 0.5000 Zr
```

---

First-principles (GGA-PBE) data for crystalline TmTlSn at its relaxed geometry, as listed in OQMD.

Results
The space group is No. 216. The total magnetic moment is 0.00 μB per cell. The calculation puts the energy above the most stable polymorph in this dataset at 0 meV/atom.

```
TmTlSn
1.0
-2.7036 1.1876 4.1606
-3.7630 3.4326 -0.2968
-4.8598 -1.5014 0.3988
Sn Tl Tm
1 1 1
direct
0.2500 0.2500 0.2500 Sn
0.7500 0.7500 0.7500 Tl
0.0000 0.0000 0.0000 Tm
```